{"formula": "CoBiPdO6", "functional": "PBE+U", "state": "optimized geometry", "lattice_angstrom": [[-3.3933, -3.7307, -0.8101], [4.6770, -0.3172, -2.0282], [3.0056, -4.3879, 7.6173]], "species": ["O", "O", "O", "Pd", "Bi", "O", "O", "O", "O", "Pd", "O", "Bi", "Co", "O", "O", "O", "O", "Co"], "frac_coords": [[0.0157, 0.6389, 0.8660], [0.3767, 0.3611, 0.3660], [0.6233, 0.9843, 0.8660], [0.6667, 0.3333, 0.7500], [0.0000, 0.0000, 0.5000], [0.6389, 0.6233, 0.1340], [0.3611, 0.3767, 0.8660], [0.3767, 0.0157, 0.1340], [0.9843, 0.6233, 0.3660], [0.3333, 0.6667, 0.2500], [0.6389, 0.0157, 0.3660], [0.0000, 0.0000, 0.0000], [0.3333, 0.6667, 0.7500], [0.0157, 0.3767, 0.6340], [0.9843, 0.3611, 0.1340], [0.6233, 0.6389, 0.6340], [0.3611, 0.9843, 0.6340], [0.6667, 0.3333, 0.2500]], "final_energy_ev_per_atom": -5.54, "space_group": "P-31c (163)", "rho_g_cm3": 7.4}